# 1
PrSm7Y3 | PBE | relaxed

POSCAR file:
```
PrSm7Y3
1.0
-3.1604 -4.8589 -6.5215
-0.8314 -5.5262 4.5203
-5.3415 4.7193 -0.9276
Sm Pr Y
7 1 3
direct
0.4533 0.8324 0.1676
0.4533 0.8324 0.6647
0.4533 0.3353 0.1676
0.1126 0.6651 0.8325
0.1239 0.6667 0.3333
0.1126 0.1675 0.3349
0.1126 0.1675 0.8325
0.4412 0.3333 0.6667
0.7841 0.9992 0.4996
0.7841 0.5004 0.4996
0.7841 0.5004 0.0008
```

Computed properties:
- SG: P3m1 (156)
- Spin magnetization: 0.00 μB per cell
- E above lowest polymorph: 64 meV per atom
- D(E_F): 18.2 states/eV/f.u.


# 2
BaZrGa2S | PBE | relaxed

POSCAR file:
```
BaZrGa2S
1.0
5.4504 0.0000 0.0000
0.0000 4.8657 0.0000
0.0000 0.0000 5.4504
Zr Ga Ba S
1 2 1 1
direct
0.0000 0.5000 0.0000
0.0000 0.0000 0.5000
0.5000 0.0000 0.0000
0.5000 0.5000 0.5000
0.0000 0.0000 0.0000
```

Computed properties:
- SG: P4/mmm (123)
- Spin magnetization: 0.83 μB per cell
- Energy relative to the elements, uncorrected: -0.0834 eV/atom
- D(E_F): 4.3 states/eV/f.u.


# 3
KMgIn4 | PBE | relaxed

POSCAR file:
```
KMgIn4
1.0
0.0000 4.4450 4.4450
4.4450 0.0000 4.4450
4.4450 4.4450 0.0000
In K Mg
4 1 1
direct
0.8750 0.3750 0.3750
0.3750 0.3750 0.3750
0.3750 0.8750 0.3750
0.3750 0.3750 0.8750
0.7500 0.7500 0.7500
0.0000 0.0000 0.0000
```

Computed properties:
- SG: F-43m (216)
- Spin magnetization: 0.00 μB per cell
- E above lowest polymorph: 103 meV per atom
- D(E_F): 3.6 states/eV/f.u.


# 4
AlTl2Sb | PBE | relaxed

POSCAR file:
```
AlTl2Sb
1.0
6.7009 0.0523 0.0351
3.4644 5.7361 -0.0351
-4.3933 -4.1049 2.9589
Tl Sb Al
2 1 1
direct
0.2845 0.7845 0.5000
0.9959 0.9959 0.0000
0.7062 0.2062 0.5000
0.5134 0.5134 0.0000
```

Computed properties:
- SG: Imm2 (44)
- Spin magnetization: 0.00 μB per cell
- E above lowest polymorph: 61 meV per atom
- Energy relative to the elements, uncorrected: 0.1399 eV/atom
- D(E_F): 2.0 states/eV/f.u.


# 5
SrNi2Pd2 | PBE | relaxed

POSCAR file:
```
SrNi2Pd2
1.0
-5.5112 1.1565 5.0593
-1.9637 -7.2958 -0.4714
1.8409 -0.6344 2.1503
Pd Ni Sr
4 4 2
direct
0.8231 0.3231 0.5000
0.1769 0.6769 0.5000
0.3231 0.1769 0.5000
0.6769 0.8231 0.5000
0.3848 0.8848 0.0000
0.6152 0.1152 0.0000
0.1152 0.3848 0.0000
0.8848 0.6152 0.0000
0.5000 0.5000 0.0000
0.0000 0.0000 0.0000
```

Computed properties:
- SG: P4/mbm (127)
- Spin magnetization: 1.80 μB per cell
- E above lowest polymorph: 79 meV per atom
- D(E_F): 6.4 states/eV/f.u.


# 6
InNiHg2 | PBE | relaxed

POSCAR file:
```
InNiHg2
1.0
-0.4428 1.7236 -2.4233
-3.3926 -2.3422 -1.0460
-5.7399 3.0412 3.2119
Hg Ni In
2 1 1
direct
0.5000 0.1839 0.2592
0.0000 0.8212 0.9811
0.5000 0.9876 0.6496
0.0000 0.5072 0.6101
```

Computed properties:
- SG: Pm (6)
- Spin magnetization: 0.00 μB per cell
- Total energy: -2.224 eV/atom
- D(E_F): 1.4 states/eV/f.u.


# 7
La8As3I4Cl | PBE | relaxed

POSCAR file:
```
La8As3I4Cl
1.0
8.6996 -0.0029 -0.0008
-0.0032 9.2514 0.3876
-4.3489 -4.3422 6.1527
I La As Cl
4 8 3 1
direct
0.0000 0.0000 0.5000
0.5000 0.0000 0.0000
0.5000 0.0000 0.5000
0.0000 0.0000 0.0000
0.2660 0.2975 0.5320
0.7340 0.7025 0.4680
0.7394 0.6998 0.9696
0.2302 0.6998 0.9696
0.7698 0.3002 0.0304
0.2606 0.3002 0.0304
0.2298 0.6992 0.4595
0.7702 0.3008 0.5405
0.0000 0.5000 0.5000
0.5000 0.5000 0.0000
0.5000 0.5000 0.5000
0.0000 0.5000 0.0000
```

Computed properties:
- SG: R-3m (166)
- Spin magnetization: 0.00 μB per cell
- Energy relative to the elements, uncorrected: -1.3689 eV/atom
- D(E_F): 9.3 states/eV/f.u.


# 8
CaCdRu2 | PBE | relaxed

POSCAR file:
```
CaCdRu2
1.0
5.0427 -0.0041 0.0056
4.1580 2.8530 0.0056
0.9781 0.3028 5.3320
Ru Ca Cd
2 1 1
direct
0.9916 0.9916 0.0599
0.5084 0.5084 0.4401
0.7500 0.7500 0.7500
0.2500 0.2500 0.2500
```

Computed properties:
- SG: C2/m (12)
- Spin magnetization: 0.57 μB per cell
- Total energy: -4.940 eV/atom
- D(E_F): 5.7 states/eV/f.u.


# 9
Sm6Ni2GeBr3 | PBE | relaxed

POSCAR file:
```
Sm6Ni2GeBr3
1.0
-3.9088 -0.7393 0.8454
2.4418 -4.6585 7.2157
0.7842 9.4499 2.1076
Br Sm Ge Ni
3 6 1 2
direct
0.5000 0.5000 0.0000
0.1610 0.8416 0.3219
0.8390 0.1584 0.6781
0.6760 0.5584 0.3520
0.3240 0.4416 0.6480
0.0159 0.2384 0.0319
0.6623 0.1308 0.3246
0.9841 0.7616 0.9681
0.3377 0.8692 0.6754
0.5000 0.0000 0.0000
0.8299 0.6536 0.6598
0.1701 0.3464 0.3402
```

Computed properties:
- SG: C2/m (12)
- Spin magnetization: 0.00 μB per cell
- Energy relative to the elements, uncorrected: -0.8866 eV/atom
- D(E_F): 10.1 states/eV/f.u.